1.
First-principles (PBE) data for a relaxed Ba6NaAl2 crystal, as listed in the Alexandria database.

```
data_Ba6NaAl2
_cell_length_a 11.729
_cell_length_b 11.946
_cell_length_c 12.590
_cell_angle_alpha 90.00
_cell_angle_beta 90.00
_cell_angle_gamma 90.00
_symmetry_space_group_name_H-M 'I m m m'
_symmetry_Int_Tables_number 71
_symmetry_space_group_name_Hall '-I 2 2'
loop_
_atom_site_label
_atom_site_type_symbol
_atom_site_fract_x
_atom_site_fract_y
_atom_site_fract_z
_atom_site_occupancy
Ba1 Ba 0.000 0.209 0.183 1
Ba2 Ba 0.184 0.219 0.500 1
Ba3 Ba 0.234 0.500 0.267 1
Na1 Na 0.000 0.500 0.000 1
Na2 Na 0.000 0.500 0.500 1
Al1 Al 0.000 0.000 0.393 1
Al2 Al 0.113 0.000 0.000 1
```

**N(E_F)**: 1.34 states/eV per atom
**Final energy**: -0.08467 Ha/atom
**E_form**: -0.0439 eV per atom



2.
First-principles (PBE) data for a relaxed SrTaC2 crystal, as listed in the Alexandria database.

```
data_SrTaC2
_cell_length_a 5.928
_cell_length_b 5.928
_cell_length_c 8.570
_cell_angle_alpha 90.00
_cell_angle_beta 90.00
_cell_angle_gamma 90.00
_symmetry_space_group_name_H-M 'I -4 2 d'
_symmetry_Int_Tables_number 122
_symmetry_space_group_name_Hall 'I -4 2bw'
loop_
_atom_site_label
_atom_site_type_symbol
_atom_site_fract_x
_atom_site_fract_y
_atom_site_fract_z
_atom_site_occupancy
Sr1 Sr 0.000 0.000 0.000 1
Ta1 Ta 0.000 0.000 0.500 1
C1 C 0.154 0.250 0.625 1
```

**N(E_F)**: 0.80 states/eV per atom
**Offset from the most stable computed form**: 0.0000 eV per atom
**Final energy**: -0.28321 Ha/atom
**E_form**: 0.2891 eV per atom



3.
First-principles (PBE) data for a relaxed LaNdMnAl crystal, as listed in the Alexandria database.

```
data_LaNdMnAl
_cell_length_a 7.496
_cell_length_b 7.496
_cell_length_c 7.496
_cell_angle_alpha 90.00
_cell_angle_beta 90.00
_cell_angle_gamma 90.00
_symmetry_space_group_name_H-M 'F -4 3 m'
_symmetry_Int_Tables_number 216
_symmetry_space_group_name_Hall 'F -4 2 3'
loop_
_atom_site_label
_atom_site_type_symbol
_atom_site_fract_x
_atom_site_fract_y
_atom_site_fract_z
_atom_site_occupancy
La1 La 0.000 0.000 0.000 1
Nd1 Nd 0.000 0.000 0.500 1
Mn1 Mn 0.250 0.250 0.750 1
Al1 Al 0.250 0.250 0.250 1
```

**N(E_F)**: 1.24 states/eV per atom
**Final energy**: -0.20743 Ha/atom
**E_form**: 0.0074 eV per atom



4.
First-principles (PBE) data for a relaxed SiOs2Pt crystal, as listed in the Alexandria database.

```
data_SiOs2Pt
_cell_length_a 9.983
_cell_length_b 2.806
_cell_length_c 8.613
_cell_angle_alpha 90.00
_cell_angle_beta 105.10
_cell_angle_gamma 90.00
_symmetry_space_group_name_H-M 'C 1 2/m 1'
_symmetry_Int_Tables_number 12
loop_
_symmetry_equiv_pos_as_xyz
'x,y,z'
'-x,-y,-z'
'-x,y,-z'
'x,-y,z'
'x+1/2,y+1/2,z'
'-x+1/2,-y+1/2,-z'
'-x+1/2,y+1/2,-z'
'x+1/2,-y+1/2,z'
loop_
_atom_site_label
_atom_site_type_symbol
_atom_site_fract_x
_atom_site_fract_y
_atom_site_fract_z
_atom_site_occupancy
Si1 Si 0.140 0.000 0.184 1
Os1 Os 0.028 0.500 0.354 1
Os2 Os 0.193 0.000 0.601 1
Pt1 Pt 0.133 0.000 0.908 1
```

**N(E_F)**: 0.72 states/eV per atom
**Raw formation energy**: -0.754 eV/f.u.
**Final energy**: -0.31859 Ha/atom



5.
First-principles (PBE) data for a relaxed HfVMo crystal, as listed in the Alexandria database.

```
data_HfVMo
_cell_length_a 4.244
_cell_length_b 9.993
_cell_length_c 4.789
_cell_angle_alpha 90.00
_cell_angle_beta 90.00
_cell_angle_gamma 90.00
_symmetry_space_group_name_H-M 'C m c m'
_symmetry_Int_Tables_number 63
_symmetry_space_group_name_Hall '-C 2c 2'
loop_
_atom_site_label
_atom_site_type_symbol
_atom_site_fract_x
_atom_site_fract_y
_atom_site_fract_z
_atom_site_occupancy
Hf1 Hf 0.000 0.088 0.250 1
V1 V 0.000 0.237 0.750 1
Mo1 Mo 0.000 0.402 0.250 1
```

**N(E_F)**: 1.14 states/eV per atom
**Offset from the most stable computed form**: 0.1988 eV per atom
**Final energy**: -0.36471 Ha/atom
**E_form**: 0.0436 eV per atom



6.
First-principles (PBE) data for a relaxed Na2SiPN4 crystal, as listed in the Alexandria database.

```
data_Na2SiPN4
_cell_length_a 5.056
_cell_length_b 5.056
_cell_length_c 7.469
_cell_angle_alpha 90.00
_cell_angle_beta 90.00
_cell_angle_gamma 90.00
_symmetry_space_group_name_H-M 'I -4'
_symmetry_Int_Tables_number 82
loop_
_symmetry_equiv_pos_as_xyz
'x,y,z'
'y,-x,-z'
'-x,-y,z'
'-y,x,-z'
'x+1/2,y+1/2,z+1/2'
'y+1/2,-x+1/2,-z+1/2'
'-x+1/2,-y+1/2,z+1/2'
'-y+1/2,x+1/2,-z+1/2'
loop_
_atom_site_label
_atom_site_type_symbol
_atom_site_fract_x
_atom_site_fract_y
_atom_site_fract_z
_atom_site_occupancy
Na1 Na 0.000 0.000 0.000 1
Na2 Na 0.000 0.500 0.250 1
Si1 Si 0.000 0.000 0.500 1
P1 P 0.000 0.500 0.750 1
N1 N 0.121 0.259 0.628 1
```

**N(E_F)**: 0.63 states/eV per atom
**Raw formation energy**: -4.622 eV/f.u.
**Final energy**: -0.23609 Ha/atom



7.
First-principles (PBE) data for a relaxed Cd3Si crystal, as listed in the Alexandria database.

```
data_Cd3Si
_cell_length_a 4.382
_cell_length_b 4.382
_cell_length_c 17.649
_cell_angle_alpha 90.00
_cell_angle_beta 90.00
_cell_angle_gamma 90.00
_symmetry_space_group_name_H-M 'I 4/m m m'
_symmetry_Int_Tables_number 139
_symmetry_space_group_name_Hall '-I 4 2'
loop_
_atom_site_label
_atom_site_type_symbol
_atom_site_fract_x
_atom_site_fract_y
_atom_site_fract_z
_atom_site_occupancy
Cd1 Cd 0.000 0.000 0.126 1
Cd2 Cd 0.000 0.500 0.000 1
Cd3 Cd 0.000 0.500 0.250 1
Si1 Si 0.000 0.000 0.380 1
```

**N(E_F)**: 0.32 states/eV per atom
**Offset from the most stable computed form**: 0.0526 eV per atom
**Raw formation energy**: 1.037 eV/f.u.
**Final energy**: -0.06552 Ha/atom



8.
First-principles (PBE) data for a relaxed BaLaPdS4 crystal, as listed in the Alexandria database.

```
data_BaLaPdS4
_cell_length_a 6.698
_cell_length_b 14.850
_cell_length_c 6.811
_cell_angle_alpha 90.00
_cell_angle_beta 90.00
_cell_angle_gamma 90.00
_symmetry_space_group_name_H-M 'C m c m'
_symmetry_Int_Tables_number 63
_symmetry_space_group_name_Hall '-C 2c 2'
loop_
_atom_site_label
_atom_site_type_symbol
_atom_site_fract_x
_atom_site_fract_y
_atom_site_fract_z
_atom_site_occupancy
Ba1 Ba 0.000 0.105 0.250 1
La1 La 0.000 0.378 0.250 1
Pd1 Pd 0.000 0.256 0.750 1
S1 S 0.000 0.096 0.750 1
S2 S 0.000 0.429 0.750 1
S3 S 0.250 0.250 0.000 1
```

**N(E_F)**: 0.13 states/eV per atom
**Raw formation energy**: -9.579 eV/f.u.
**Final energy**: -0.20019 Ha/atom